Record 1
## Hf3Zn2B2 (GGA-PBE)

Data for an optimized crystal structure of Hf3Zn2B2.

Values from the calculation:
The total energy is -6.273 eV/atom. The theoretical density comes out at 9.95 g/cm3. Its symmetry is R3m (160).

Lattice parameters (Å, degrees): 7.6374 7.6374 7.6374 32.56 32.56 32.56
Fractional positions:
Hf 0.0000 0.0000 0.0000
Hf 0.2382 0.2382 0.2382
Hf 0.4782 0.4782 0.4782
Zn 0.1146 0.1146 0.1146
Zn 0.6219 0.6219 0.6219
B 0.3576 0.3576 0.3576
B 0.8692 0.8692 0.8692

---

Record 2
## LaNbNO (GGA-PBE)

Data for an optimized crystal structure of LaNbNO.

Values from the calculation:
The theoretical density comes out at 7.11 g/cm3. The calculation puts the relative energy among the computed polymorphs at 17 meV per atom. Its symmetry is Pmc2_1 (26).

Lattice parameters (Å, degrees): 4.1028 5.5543 5.3676 90.00 90.00 90.00
Fractional positions:
La 0.0000 0.2265 0.0000
La 0.0000 0.7735 0.5000
Nb 0.5000 0.2898 0.5015
Nb 0.5000 0.7102 0.0015
N 0.0000 0.3158 0.5029
N 0.0000 0.6842 0.0029
O 0.5000 0.0019 0.7548
O 0.5000 0.9981 0.2548

---

Record 3
## NiOs (GGA-PBE)

Data for an optimized crystal structure of NiOs.

Values from the calculation:
The theoretical density comes out at 11.52 g/cm3. The calculation puts the formation energy at 3.369 eV/f.u. Its symmetry is P6_3mc (186).

Lattice parameters (Å, degrees): 3.7103 3.7103 6.0202 90.00 90.00 120.00
Fractional positions:
Ni 0.3333 0.6667 0.0000
Ni 0.6667 0.3333 0.5000
Os 0.3333 0.6667 0.3756
Os 0.6667 0.3333 0.8756

---

Record 4
## FeReSiAu (GGA-PBE)

Data for an optimized crystal structure of FeReSiAu.

Values from the calculation:
The theoretical density comes out at 13.43 g/cm3. The calculation puts the relative energy among the computed polymorphs at 282 meV per atom. Its symmetry is F-43m (216).

Lattice parameters (Å, degrees): 4.3391 4.3391 4.3391 60.00 60.00 60.00
Fractional positions:
Fe 0.0000 0.0000 0.0000
Re 0.2500 0.2500 0.2500
Si 0.7500 0.7500 0.7500
Au 0.5000 0.5000 0.5000

---

Record 5
## FeNi2H6Ir (GGA-PBE)

Data for an optimized crystal structure of FeNi2H6Ir.

Values from the calculation:
The total energy is -4.540 eV/atom. The theoretical density comes out at 8.66 g/cm3. Its symmetry is Fm-3m (225).

Lattice parameters (Å, degrees): 4.6523 4.6523 4.6523 60.00 60.00 60.00
Fractional positions:
Fe 0.0000 0.0000 0.0000
Ni 0.2500 0.2500 0.2500
Ni 0.7500 0.7500 0.7500
H 0.2438 0.2438 0.7562
H 0.2438 0.7562 0.2438
H 0.2438 0.7562 0.7562
H 0.7562 0.2438 0.2438
H 0.7562 0.2438 0.7562
H 0.7562 0.7562 0.2438
Ir 0.5000 0.5000 0.5000

---

Record 6
## Dy2Y2ErTm2Ni2Te2 (GGA-PBE)

Data for an optimized crystal structure of Dy2Y2ErTm2Ni2Te2.

Values from the calculation:
The theoretical density comes out at 8.01 g/cm3. The calculation puts the relative energy among the computed polymorphs at 11 meV per atom. Its symmetry is Imm2 (44).

Lattice parameters (Å, degrees): 9.3441 9.3441 9.3441 156.27 66.88 118.51
Fractional positions:
Dy 0.1467 0.0000 0.1467
Dy 0.8533 0.0000 0.8533
Y 0.1675 0.3515 0.8159
Y 0.5356 0.3515 0.1841
Er 0.2295 0.7295 0.5000
Tm 0.5148 0.1478 0.3670
Tm 0.7809 0.1478 0.6330
Ni 0.3959 0.6561 0.7399
Ni 0.9162 0.6561 0.2601
Te 0.4963 0.4963 0.0000
Te 0.8916 0.3916 0.5000

---

Record 7
## ErAl4InIr (GGA-PBE)

Data for an optimized crystal structure of ErAl4InIr.

Values from the calculation:
The total energy is -5.040 eV/atom. The theoretical density comes out at 7.29 g/cm3. Its symmetry is P4/mmm (123).

Lattice parameters (Å, degrees): 4.3574 4.3574 6.9851 90.00 90.00 90.00
Fractional positions:
Er 0.0000 0.0000 0.0000
Al 0.0000 0.5000 0.3094
Al 0.0000 0.5000 0.6906
Al 0.5000 0.0000 0.3094
Al 0.5000 0.0000 0.6906
In 0.5000 0.5000 0.0000
Ir 0.0000 0.0000 0.5000

---

Record 8
## Zr4FeSiC2 (GGA-PBE)

Data for an optimized crystal structure of Zr4FeSiC2.

Values from the calculation:
The total energy is -8.802 eV/atom. The theoretical density comes out at 6.15 g/cm3. Its symmetry is P-6m2 (187).

Lattice parameters (Å, degrees): 3.3023 3.3023 13.5283 90.00 90.00 120.00
Fractional positions:
Zr 0.0000 0.0000 0.1471
Zr 0.0000 0.0000 0.8529
Zr 0.6667 0.3333 0.3427
Zr 0.6667 0.3333 0.6573
Fe 0.6667 0.3333 0.0000
Si 0.0000 0.0000 0.5000
C 0.3333 0.6667 0.2484
C 0.3333 0.6667 0.7516

---

Question: What is the formula in the fifth record?
Answer: FeNi2H6Ir